DFT (PBE) results for a relaxed structure of TbNd2Au4.

Computed properties:
The value obtained for the total energy is -0.1677 Ha/atom. For the energy of formation, the calculation gives -0.67 eV/atom. For the volume, the calculation gives 26.3 Å³/atom.

a b c (Å): 5.2994 5.2994 7.5429
angles (deg): 110.57 110.57 90.00
Positions (direct):
Tb: 0.0000 0.0000 0.0000
Nd: 0.7204 0.7204 0.4408
Nd: 0.2796 0.2796 0.5592
Au: 0.3852 0.8852 0.7703
Au: 0.8852 0.3852 0.7703
Au: 0.6148 0.1148 0.2297
Au: 0.1148 0.6148 0.2297